Entry 1:
DFT (PBE) results for NiPHRu2 after structural relaxation.

abc: 4.3689 4.3689 4.0936
angles: 90.00 90.00 90.00
With the nearest neighbours (Å) after each atom.
Fractional positions:
Ni (0.0000, 0.0000, 0.0000)  2 P 2.05
P (0.0000, 0.0000, 0.5000)  2 Ni 2.05, 4 Ru 2.18
H (0.5000, 0.5000, 0.0000)  8 Ru 2.99, 4 Ni 3.09
Ru (0.0000, 0.5000, 0.5000)  2 P 2.18
Ru (0.5000, 0.0000, 0.5000)  2 P 2.18

Volume = 78 Å³/cell
DFT total energy = -5.626 eV/atom


Entry 2:
DFT (PBE) results for LaPm3Pr2As6 after structural relaxation.

abc: 9.5793 9.5793 8.5685
angles: 102.92 102.92 25.86
With the nearest neighbours (Å) after each atom.
Fractional positions:
La (0.0000, 0.0000, 0.0000)  6 As 3.06
Pm (0.0000, 0.0000, 0.5000)  6 As 3.01
Pm (0.3332, 0.3332, 0.1673)  6 As 3.00-3.02
Pm (0.6668, 0.6668, 0.8327)  6 As 3.00-3.02
Pr (0.3330, 0.3330, 0.6661)  6 As 3.04-3.05
Pr (0.6670, 0.6670, 0.3339)  6 As 3.04-3.05
As (0.1658, 0.1658, 0.5854)  3 Pm 3.01, 3 Pr 3.04
As (0.1682, 0.1682, 0.0813)  3 Pm 3.00-3.02, 2 Pr 3.05, 1 La 3.06
As (0.4992, 0.4992, 0.2538)  3 Pm 3.01-3.02, 1 Pr 3.05, 2 La 3.06
As (0.5008, 0.5008, 0.7462)  3 Pm 3.01-3.02, 1 Pr 3.05, 2 La 3.06
As (0.8318, 0.8318, 0.9187)  3 Pm 3.00-3.02, 2 Pr 3.05, 1 La 3.06
As (0.8342, 0.8342, 0.4146)  3 Pm 3.01, 3 Pr 3.04

Volume = 334 Å³/cell
ΔH_f (0 K) = -147 kJ per mole of atoms
DFT total energy = -6.244 eV/atom


Entry 3:
DFT (PBE) results for ScCo2W after structural relaxation.

abc: 4.8003 4.8003 4.5488
angles: 100.47 100.47 33.12
With the nearest neighbours (Å) after each atom.
Fractional positions:
Sc (0.0000, 0.0000, 0.0000)  7 Co 2.49-2.69, 2 Sc 2.74
Co (0.2453, 0.2453, 0.8431)  3 Sc 2.49-2.69, 4 W 2.63-2.72, 4 Co 2.67-2.74
Co (0.5244, 0.5244, 0.5113)  3 W 2.55-2.61, 4 Sc 2.66-2.67, 4 Co 2.67-2.74
W (0.7794, 0.7794, 0.3677)  7 Co 2.55-2.72, 2 W 2.74

Volume = 56 Å³/cell
ΔH_f (0 K) = 5 kJ per mole of atoms
DFT total energy = -8.325 eV/atom


Entry 4:
DFT (PBE) results for CrSeBr2 after structural relaxation.

abc: 7.9712 7.9712 4.0734
angles: 90.51 90.51 26.27
With the nearest neighbours (Å) after each atom.
Fractional positions:
Cr (0.0000, 0.0000, 0.0000)  4 Se 2.73, 4 Br 2.97
Se (0.5000, 0.5000, 0.5000)  2 Br 2.60, 4 Cr 2.73
Br (0.3556, 0.3556, 0.1739)  1 Se 2.60
Br (0.6444, 0.6444, 0.8261)  1 Se 2.60

Volume = 115 Å³/cell
ΔE_f (raw) = -0.1175 eV/atom
DFT total energy = -4.231 eV/atom


Entry 5:
DFT (PBE) results for Y2ZrW after structural relaxation.

abc: 3.1469 5.0239 6.1248
angles: 90.00 101.86 90.00
With the nearest neighbours (Å) after each atom.
Fractional positions:
Y (0.0929, 0.0000, 0.2624)  2 W 3.05, 4 Y 3.08-3.15, 4 Zr 3.34-3.37
Y (0.9071, 0.0000, 0.7376)  2 W 3.05, 4 Y 3.08-3.15, 4 Zr 3.34-3.37
Zr (0.5000, 0.5000, 0.0000)  2 W 3.06, 2 Zr 3.15, 8 Y 3.34-3.37
W (0.5000, 0.5000, 0.5000)  4 Y 3.05, 2 Zr 3.06, 2 W 3.15

Volume = 95 Å³/cell
ΔH_f (0 K) = 46 kJ per mole of atoms
DFT total energy = -8.126 eV/atom


Entry 6:
DFT (PBE) results for ZnIO3 after structural relaxation.

abc: 3.8985 3.8985 3.8985
angles: 90.00 90.00 90.00
With the nearest neighbours (Å) after each atom.
Fractional positions:
Zn (0.0000, 0.0000, 0.0000)  6 O 1.95
I (0.5000, 0.5000, 0.5000)  12 O 2.76
O (0.0000, 0.0000, 0.5000)  2 Zn 1.95
O (0.0000, 0.5000, 0.0000)  2 Zn 1.95
O (0.5000, 0.0000, 0.0000)  2 Zn 1.95

Volume = 59 Å³/cell
ΔE_f (raw) = 0.0841 eV/atom
DFT total energy = -3.456 eV/atom


Entry 7:
DFT (PBE) results for Pb2C3N6 after structural relaxation.

abc: 8.0199 8.0199 5.3883
angles: 96.39 96.39 28.78
With the nearest neighbours (Å) after each atom.
Fractional positions:
Pb (0.1356, 0.1356, 0.0638)  7 N 2.56-2.75
Pb (0.8644, 0.8644, 0.9362)  7 N 2.56-2.75
C (0.0000, 0.0000, 0.5000)  2 N 1.24
C (0.3271, 0.3271, 0.4119)  2 N 1.22-1.25
C (0.6729, 0.6729, 0.5881)  2 N 1.22-1.25
N (0.0046, 0.0046, 0.7304)  1 C 1.24
N (0.3126, 0.3126, 0.1788)  1 C 1.25
N (0.3364, 0.3364, 0.6403)  1 C 1.22
N (0.6636, 0.6636, 0.3597)  1 C 1.22
N (0.6874, 0.6874, 0.8212)  1 C 1.25
N (0.9954, 0.9954, 0.2696)  1 C 1.24

Volume = 166 Å³/cell
ΔE_f (raw) = 0.3583 eV/atom
DFT total energy = -7.373 eV/atom


Entry 8:
DFT (PBE) results for Cs4RbAu3 after structural relaxation.

abc: 6.0273 6.0273 11.4078
angles: 90.00 90.00 90.00
With the nearest neighbours (Å) after each atom.
Fractional positions:
Cs (0.0000, 0.5000, 0.1963)  4 Au 3.65-3.75
Cs (0.0000, 0.5000, 0.8037)  4 Au 3.65-3.75
Cs (0.5000, 0.0000, 0.1963)  4 Au 3.65-3.75
Cs (0.5000, 0.0000, 0.8037)  4 Au 3.65-3.75
Rb (0.0000, 0.0000, 0.5000)  8 Au 4.49, 8 Cs 4.59
Au (0.0000, 0.0000, 0.0000)  8 Cs 3.75
Au (0.5000, 0.5000, 0.3764)  1 Au 2.82
Au (0.5000, 0.5000, 0.6236)  1 Au 2.82

Volume = 414 Å³/cell
ΔH_f (0 K) = -18 kJ per mole of atoms
DFT total energy = -1.959 eV/atom


Entry 9:
DFT (PBE) results for BeIn2Mo after structural relaxation.

abc: 5.0495 5.0495 2.9785
angles: 90.00 90.00 111.46
With the nearest neighbours (Å) after each atom.
Fractional positions:
Be (0.0000, 0.0000, 0.0000)  2 Mo 2.84, 8 In 2.93, 2 Be 2.98
In (0.0000, 0.5000, 0.5000)  4 In 2.84-2.98, 4 Mo 2.93, 4 Be 2.93
In (0.5000, 0.0000, 0.5000)  4 In 2.84-2.98, 4 Mo 2.93, 4 Be 2.93
Mo (0.5000, 0.5000, 0.0000)  2 Be 2.84, 8 In 2.93, 2 Mo 2.98

Volume = 71 Å³/cell
ΔH_f (0 K) = 48 kJ per mole of atoms
DFT total energy = -4.511 eV/atom


Entry 10:
DFT (PBE) results for Be2CuSe after structural relaxation.

abc: 3.2301 3.3397 4.8542
angles: 90.00 90.00 90.00
With the nearest neighbours (Å) after each atom.
Fractional positions:
Be (0.0000, 0.0000, 0.0000)  4 Se 2.32
Be (0.0000, 0.5000, 0.5000)  4 Cu 2.32
Cu (0.5000, 0.0000, 0.5000)  4 Be 2.32
Se (0.5000, 0.5000, 0.0000)  4 Be 2.32

Volume = 52 Å³/cell
ΔE_f (raw) = 0.3603 eV/atom
DFT total energy = -3.398 eV/atom


Entry 11:
DFT (PBE) results for Er2ZrS6 after structural relaxation.

abc: 6.2601 6.2601 11.8160
angles: 90.00 90.00 90.00
With the nearest neighbours (Å) after each atom.
Fractional positions:
Er (0.0000, 0.0000, 0.1699)  6 S 2.68-2.73
Er (0.0000, 0.0000, 0.8301)  6 S 2.68-2.73
Er (0.5000, 0.5000, 0.3301)  6 S 2.68-2.73
Er (0.5000, 0.5000, 0.6699)  6 S 2.68-2.73
Zr (0.0000, 0.0000, 0.5000)  6 S 2.55-2.58
Zr (0.5000, 0.5000, 0.0000)  6 S 2.55-2.58
S (0.1974, 0.1974, 0.3430)  1 Zr 2.55, 2 Er 2.68-2.69
S (0.1974, 0.1974, 0.6570)  1 Zr 2.55, 2 Er 2.68-2.69
S (0.2082, 0.2082, 0.0000)  1 Zr 2.58, 2 Er 2.73
S (0.2918, 0.7082, 0.5000)  1 Zr 2.58, 2 Er 2.73
S (0.3026, 0.6974, 0.1570)  1 Zr 2.55, 2 Er 2.68-2.69
S (0.3026, 0.6974, 0.8430)  1 Zr 2.55, 2 Er 2.68-2.69
S (0.6974, 0.3026, 0.1570)  1 Zr 2.55, 2 Er 2.68-2.69
S (0.6974, 0.3026, 0.8430)  1 Zr 2.55, 2 Er 2.68-2.69
S (0.7082, 0.2918, 0.5000)  1 Zr 2.58, 2 Er 2.73
S (0.7918, 0.7918, 0.0000)  1 Zr 2.58, 2 Er 2.73
S (0.8026, 0.8026, 0.3430)  1 Zr 2.55, 2 Er 2.68-2.69
S (0.8026, 0.8026, 0.6570)  1 Zr 2.55, 2 Er 2.68-2.69

Volume = 463 Å³/cell
ΔE_f (raw) = -1.3681 eV/atom
DFT total energy = -6.084 eV/atom


Entry 12:
DFT (PBE) results for Sc2AgTe after structural relaxation.

abc: 5.9210 5.9210 5.9210
angles: 139.12 139.12 59.19
With the nearest neighbours (Å) after each atom.
Fractional positions:
Sc (0.0000, 0.0000, 0.0000)  4 Ag 2.92
Sc (0.7500, 0.2500, 0.5000)  4 Te 2.92
Ag (0.5000, 0.5000, 0.0000)  4 Sc 2.92
Te (0.2500, 0.7500, 0.5000)  4 Sc 2.92

Volume = 88 Å³/cell
ΔE_f (raw) = -0.4775 eV/atom
DFT total energy = -5.141 eV/atom